{
  "formula": "KHgW2",
  "functional": "GGA-PBE",
  "state": "relaxed",
  "cell": [[3.690, 0.000, 0.000], [0.000, 3.690, 0.000], [0.000, 0.000, 7.701]],
  "species": ["Hg", "K", "W", "W"],
  "frac_coords": [[0.500, 0.500, 0.250], [0.500, 0.500, 0.750], [0.000, 0.000, 0.103], [0.000, 0.000, 0.397]],
  "formation_enthalpy_0k_mev_per_atom": 1485,
  "spacegroup": "No. 123"
}

=====

{
  "formula": "AlInSb2Te",
  "functional": "GGA-PBE",
  "state": "relaxed",
  "cell": [[5.318, 0.000, 0.000], [0.000, 5.318, 0.000], [0.000, 0.000, 5.520]],
  "species": ["Sb", "Sb", "Te", "Al", "In"],
  "frac_coords": [[0.000, 0.500, 0.000], [0.500, 0.000, 0.000], [0.000, 0.000, 0.500], [0.000, 0.000, 0.000], [0.500, 0.500, 0.500]],
  "spacegroup": "No. 123",
  "e_form_raw_mev_per_atom": 303.6
}

=====

{
  "formula": "Sr3Ni2N4",
  "functional": "GGA-PBE",
  "state": "relaxed",
  "cell": [[-3.961, -5.587, -1.519], [7.980, 1.891, -2.885], [2.244, -2.398, 4.636]],
  "species": ["Sr", "Sr", "Sr", "Sr", "Sr", "Sr", "N", "N", "N", "N", "N", "N", "N", "N", "Ni", "Ni", "Ni", "Ni"],
  "frac_coords": [[0.255, 0.995, 0.064], [0.745, 0.740, 0.436], [0.745, 0.005, 0.936], [0.255, 0.260, 0.564], [0.000, 0.597, 0.750], [0.000, 0.403, 0.250], [0.248, 0.938, 0.526], [0.752, 0.690, 0.974], [0.752, 0.062, 0.474], [0.248, 0.310, 0.026], [0.655, 0.267, 0.898], [0.345, 0.613, 0.602], [0.345, 0.733, 0.102], [0.655, 0.387, 0.398], [0.586, 0.165, 0.579], [0.414, 0.579, 0.921], [0.414, 0.835, 0.421], [0.586, 0.421, 0.079]],
  "spacegroup": "No. 15",
  "e_form_raw_mev_per_atom": -202.2
}

=====

{
  "formula": "BeCdPt2",
  "functional": "GGA-PBE",
  "state": "relaxed",
  "cell": [[-1.624, -0.807, -2.420], [1.800, -2.395, -0.409], [-4.003, -3.675, 3.911]],
  "species": ["Be", "Pt", "Pt", "Cd"],
  "frac_coords": [[0.000, 0.000, 0.432], [0.000, 0.000, 0.019], [0.500, 0.500, 0.311], [0.500, 0.500, 0.738]],
  "formation_enthalpy_0k_mev_per_atom": -272,
  "spacegroup": "No. 99"
}

=====

{
  "formula": "LaPb2W",
  "functional": "GGA-PBE",
  "state": "relaxed",
  "cell": [[6.458, 0.000, -0.001], [-2.807, 5.254, 0.007], [0.845, 0.942, 3.009]],
  "species": ["La", "Pb", "Pb", "W"],
  "frac_coords": [[0.500, 0.500, 0.000], [0.000, 0.000, 0.000], [0.500, 0.000, 0.500], [0.000, 0.500, 0.500]],
  "formation_enthalpy_0k_mev_per_atom": 622,
  "spacegroup": "No. 12"
}

=====

{
  "formula": "Nd3Si5S12",
  "functional": "GGA-PBE",
  "state": "relaxed",
  "cell": [[13.115, 0.000, 0.000], [-4.372, 12.365, 0.000], [-4.372, -6.183, 10.709]],
  "species": ["S", "S", "S", "S", "S", "S", "S", "S", "S", "S", "S", "S", "S", "S", "S", "S", "S", "S", "S", "S", "S", "S", "S", "S", "S", "S", "S", "S", "S", "S", "S", "S", "S", "S", "S", "S", "S", "S", "S", "S", "S", "S", "S", "S", "S", "S", "S", "S", "Nd", "Nd", "Nd", "Nd", "Nd", "Nd", "Nd", "Nd", "Nd", "Nd", "Nd", "Nd", "Si", "Si", "Si", "Si", "Si", "Si", "Si", "Si", "Si", "Si", "Si", "Si", "Si", "Si", "Si", "Si", "Si", "Si", "Si", "Si"],
  "frac_coords": [[0.711, 0.121, 0.022], [0.311, 0.522, 0.402], [0.978, 0.379, 0.289], [0.522, 0.211, 0.121], [0.590, 0.711, 0.689], [0.978, 0.598, 0.189], [0.311, 0.789, 0.410], [0.098, 0.910, 0.121], [0.598, 0.978, 0.689], [0.711, 0.590, 0.189], [0.789, 0.478, 0.379], [0.811, 0.902, 0.022], [0.121, 0.711, 0.522], [0.379, 0.402, 0.090], [0.090, 0.902, 0.379], [0.410, 0.121, 0.598], [0.090, 0.189, 0.211], [0.478, 0.689, 0.098], [0.811, 0.910, 0.289], [0.121, 0.410, 0.098], [0.379, 0.978, 0.789], [0.598, 0.621, 0.410], [0.902, 0.811, 0.522], [0.789, 0.311, 0.910], [0.402, 0.379, 0.590], [0.098, 0.189, 0.478], [0.211, 0.689, 0.090], [0.189, 0.090, 0.711], [0.621, 0.022, 0.211], [0.879, 0.590, 0.902], [0.522, 0.311, 0.902], [0.590, 0.879, 0.402], [0.910, 0.811, 0.789], [0.910, 0.098, 0.621], [0.879, 0.289, 0.478], [0.189, 0.098, 0.978], [0.621, 0.598, 0.910], [0.402, 0.022, 0.311], [0.289, 0.410, 0.811], [0.211, 0.522, 0.621], [0.902, 0.090, 0.879], [0.689, 0.211, 0.590], [0.478, 0.789, 0.879], [0.022, 0.402, 0.811], [0.410, 0.289, 0.311], [0.022, 0.621, 0.711], [0.689, 0.478, 0.598], [0.289, 0.879, 0.978], [0.750, 0.375, 0.125], [0.875, 0.750, 0.125], [0.375, 0.750, 0.625], [0.250, 0.125, 0.375], [0.875, 0.125, 0.250], [0.375, 0.625, 0.250], [0.625, 0.375, 0.750], [0.125, 0.875, 0.750], [0.750, 0.875, 0.625], [0.625, 0.250, 0.375], [0.125, 0.250, 0.875], [0.250, 0.625, 0.875], [0.125, 0.375, 0.250], [0.000, 0.500, 0.000], [0.000, 0.000, 0.000], [0.375, 0.250, 0.125], [0.500, 0.000, 0.500], [0.500, 0.500, 0.000], [0.125, 0.750, 0.375], [0.750, 0.125, 0.875], [0.750, 0.625, 0.375], [0.375, 0.125, 0.750], [0.625, 0.875, 0.250], [0.500, 0.500, 0.500], [0.500, 0.000, 0.000], [0.000, 0.000, 0.500], [0.250, 0.375, 0.625], [0.250, 0.875, 0.125], [0.000, 0.500, 0.500], [0.875, 0.250, 0.625], [0.625, 0.750, 0.875], [0.875, 0.625, 0.750]],
  "spacegroup": "No. 230",
  "e_form_raw_mev_per_atom": -983.6
}

=====

{
  "formula": "CaSbMo",
  "functional": "GGA-PBE",
  "state": "relaxed",
  "cell": [[-6.033, 0.327, 0.754], [-4.752, -1.566, 3.468], [-0.623, 2.722, 2.190]],
  "species": ["Sb", "Mo", "Ca"],
  "frac_coords": [[0.700, 0.700, 0.300], [0.304, 0.304, 0.696], [0.996, 0.996, 0.004]],
  "spacegroup": "No. 107",
  "e_form_raw_mev_per_atom": 38.0
}

=====

{
  "formula": "Ga2Hg2Se",
  "functional": "GGA-PBE",
  "state": "relaxed",
  "cell": [[7.659, 0.000, 0.000], [0.000, 7.659, 0.000], [0.000, 0.000, 4.149]],
  "species": ["Ga", "Ga", "Ga", "Ga", "Hg", "Hg", "Hg", "Hg", "Se", "Se"],
  "frac_coords": [[0.171, 0.671, 0.500], [0.671, 0.829, 0.500], [0.829, 0.329, 0.500], [0.329, 0.171, 0.500], [0.363, 0.863, 0.000], [0.863, 0.637, 0.000], [0.637, 0.137, 0.000], [0.137, 0.363, 0.000], [0.000, 0.000, 0.000], [0.500, 0.500, 0.000]],
  "spacegroup": "No. 127",
  "e_form_raw_mev_per_atom": 89.8
}

=====

{
  "formula": "Al2HgGe",
  "functional": "GGA-PBE",
  "state": "relaxed",
  "cell": [[-2.261, -2.810, 1.798], [1.058, -1.426, 3.618], [-3.664, 2.916, 4.465]],
  "species": ["Al", "Al", "Hg", "Ge"],
  "frac_coords": [[0.071, 0.071, 0.787], [0.265, 0.265, 0.204], [0.498, 0.498, 0.507], [0.666, 0.666, 0.002]],
  "formation_enthalpy_0k_mev_per_atom": 143,
  "spacegroup": "No. 160"
}

=====

{
  "formula": "CsK3Cu4Br12",
  "functional": "GGA-PBE",
  "state": "relaxed",
  "cell": [[-5.211, 2.287, -7.924], [-0.658, -9.714, -0.623], [-6.919, 1.463, 6.720]],
  "species": ["Cs", "K", "K", "K", "Cu", "Cu", "Cu", "Cu", "Br", "Br", "Br", "Br", "Br", "Br", "Br", "Br", "Br", "Br", "Br", "Br"],
  "frac_coords": [[0.000, 0.000, 0.000], [0.534, 0.466, 0.000], [0.466, 0.000, 0.534], [0.000, 0.534, 0.466], [0.957, 0.043, 0.500], [0.043, 0.500, 0.957], [0.500, 0.957, 0.043], [0.500, 0.500, 0.500], [0.500, 0.343, 0.657], [0.883, 0.500, 0.117], [0.117, 0.883, 0.500], [0.500, 0.117, 0.883], [0.359, 0.024, 0.198], [0.198, 0.359, 0.024], [0.024, 0.198, 0.359], [0.641, 0.802, 0.976], [0.976, 0.641, 0.802], [0.802, 0.976, 0.641], [0.657, 0.500, 0.343], [0.343, 0.657, 0.500]],
  "spacegroup": "No. 155",
  "e_form_raw_mev_per_atom": -820.9
}

=====

no.,calculated volume (Å³ per cell),DOS at the Fermi energy (states/eV/cell),raw total energy (eV/atom)
1,105,3.852,-5.342
2,156,4.206,-3.270
3,271,15.519,-5.748
4,61,1.932,-4.453
5,102,3.656,-5.703
6,1737,5.952,-5.531
7,70,3.128,-5.614
8,243,3.722,-1.939
9,85,1.203,-2.959
10,896,6.875,-2.851